Here is a geometry-optimized Ce2TlAg structure from Alexandria. Energies are from PBE.

a b c (Å): 3.402 3.402 9.128
angles (deg): 90.00 90.00 90.00
Fractional positions:
Ce (0.000, 0.000, 0.236)
Ce (0.000, 0.000, 0.764)
Tl (0.500, 0.500, 0.500)
Ag (0.500, 0.500, 0.000)

Calculated values
offset from the most stable computed form = 0.009 eV/atom
final energy = -17.66 eV per cell
DFT formation energy = -0.14 eV/atom
V = 106 Å³ per cell



Here is a geometry-optimized GdHo2Er structure from Alexandria. Energies are from PBE.

a b c (Å): 5.639 5.639 5.639
angles (deg): 60.00 60.00 60.00
Fractional positions:
Gd (0.000, 0.000, 0.000)
Ho (0.250, 0.250, 0.250)
Ho (0.750, 0.750, 0.750)
Er (0.500, 0.500, 0.500)

Calculated values
offset from the most stable computed form = 0.101 eV/atom
final energy = -27.31 eV per cell
DFT formation energy = 0.12 eV/atom
V = 127 Å³ per cell



Question: Among the records above, which one has the lowest final energy?
Answer: GdHo2Er



Question: Which value of offset from the most stable computed form does entry 1 give?
Answer: 0.009 eV/atom